Entry from Alexandria: an optimized crystal structure of La2TcSe (PBE).

## Properties
Formation energy (no corrections)   -0.726 eV/atom
Size of the total moment   0.00 μB/f.u.

Cell lengths 4.2659, 4.3052, 6.0160 Å; angles 90.00, 90.00, 90.00 degrees
Element x y z (fractional)
1 La 0.0000 0.0000 0.8886
2 La 0.5000 0.5000 0.3114
3 Se 0.0000 0.0000 0.3883
4 Tc 0.5000 0.5000 0.9116

=====

Entry from Alexandria: an optimized crystal structure of NaAcPb2 (PBE).

## Properties
Size of the total moment   0.00 μB/f.u.
Energy   -3.58 eV per atom

Cell lengths 4.8834, 5.1335, 5.1335 Å; angles 90.00, 90.00, 90.00 degrees
Element x y z (fractional)
1 Pb 0.0000 0.0000 0.5000
2 Pb 0.0000 0.5000 0.0000
3 Na 0.5000 0.0000 0.0000
4 Ac 0.5000 0.5000 0.5000

=====

Entry from Alexandria: an optimized crystal structure of YInTc2 (PBE).

## Properties
Size of the total moment   0.00 μB/f.u.
Energy   -6.96 eV per atom

Cell lengths 9.0486, 9.0486, 9.0486 Å; angles 20.20, 20.20, 20.20 degrees
Element x y z (fractional)
1 In 0.7500 0.7500 0.7500
2 Tc 0.0027 0.0027 0.0027
3 Tc 0.4973 0.4973 0.4973
4 Y 0.2500 0.2500 0.2500

=====

Entry from Alexandria: an optimized crystal structure of Ag2SnTe3 (PBE).

## Properties
Formation energy (no corrections)   -0.136 eV/atom
Size of the total moment   0.00 μB/f.u.

Cell lengths 7.9391, 7.9391, 14.5987 Å; angles 100.58, 100.58, 109.03 degrees
Element x y z (fractional)
1 Ag 0.0763 0.2367 0.3408
2 Ag 0.4093 0.5907 0.0000
3 Ag 0.7633 0.9237 0.6592
4 Ag 0.4855 0.1458 0.1591
5 Ag 0.8542 0.5145 0.8409
6 Ag 0.1594 0.8406 0.5000
7 Ag 0.9200 0.0800 0.0000
8 Ag 0.6698 0.3302 0.5000
9 Sn 0.2355 0.4018 0.6672
10 Sn 0.5982 0.7645 0.3328
11 Sn 0.0154 0.6816 0.1673
12 Sn 0.3184 0.9846 0.8327
13 Te 0.4674 0.3744 0.8376
14 Te 0.7865 0.6996 0.4954
15 Te 0.1212 0.0537 0.1700
16 Te 0.9463 0.8788 0.8300
17 Te 0.3004 0.2135 0.5046
18 Te 0.6256 0.5326 0.1624
19 Te 0.0410 0.4541 0.0046
20 Te 0.3798 0.7867 0.6624
21 Te 0.7012 0.1339 0.3300
22 Te 0.2133 0.6202 0.3376
23 Te 0.5459 0.9590 0.9954
24 Te 0.8661 0.2988 0.6700

=====

Entry from Alexandria: an optimized crystal structure of Rb2SnHgAu (PBE).

## Properties
Size of the total moment   0.00 μB/f.u.
Energy   -2.05 eV per atom

Cell lengths 6.8010, 6.8010, 5.1214 Å; angles 90.00, 90.00, 90.00 degrees
Element x y z (fractional)
1 Au 0.0000 0.0000 0.0000
2 Hg 0.5000 0.5000 0.5000
3 Rb 0.0000 0.5000 0.0000
4 Rb 0.5000 0.0000 0.0000
5 Sn 0.0000 0.0000 0.5000

=====

Entry from Alexandria: an optimized crystal structure of YSc2Be (PBE).

## Properties
Size of the total moment   0.01 μB/f.u.
Energy   -5.46 eV per atom

Cell lengths 5.5797, 5.5797, 5.5797 Å; angles 134.17, 134.17, 66.82 degrees
Element x y z (fractional)
1 Y 0.2500 0.7500 0.5000
2 Sc 0.0000 0.0000 0.0000
3 Sc 0.5000 0.5000 0.0000
4 Be 0.7500 0.2500 0.5000

=====

Entry from Alexandria: an optimized crystal structure of SmDy9Tl2 (PBE).

## Properties
Size of the total moment   0.00 μB/f.u.
Energy   -4.35 eV per atom

Cell lengths 4.8716, 4.8716, 15.0443 Å; angles 90.00, 90.00, 90.00 degrees
Element x y z (fractional)
1 Sm 0.0000 0.0000 0.0000
2 Dy 0.5000 0.5000 0.0000
3 Dy 0.5000 0.5000 0.3380
4 Dy 0.5000 0.5000 0.6620
5 Dy 0.5000 0.0000 0.1731
6 Dy 0.5000 0.0000 0.5000
7 Dy 0.5000 0.0000 0.8269
8 Dy 0.0000 0.5000 0.1731
9 Dy 0.0000 0.5000 0.5000
10 Dy 0.0000 0.5000 0.8269
11 Tl 0.0000 0.0000 0.3400
12 Tl 0.0000 0.0000 0.6600

=====

Entry from Alexandria: an optimized crystal structure of PmHoSe3 (PBE).

## Properties
E above lowest polymorph   0.000 eV per atom
Formation energy (no corrections)   -1.884 eV/atom
Size of the total moment   0.00 μB/f.u.

Cell lengths 4.1195, 7.7154, 16.0707 Å; angles 90.00, 90.00, 90.00 degrees
Element x y z (fractional)
1 Pm 0.7500 0.8598 0.7987
2 Pm 0.2500 0.1402 0.2013
3 Pm 0.7500 0.3598 0.7013
4 Pm 0.2500 0.6402 0.2987
5 Ho 0.2500 0.2706 0.9575
6 Ho 0.2500 0.7706 0.5425
7 Ho 0.7500 0.2294 0.4575
8 Ho 0.7500 0.7294 0.0425
9 Se 0.2500 0.3783 0.5632
10 Se 0.7500 0.8484 0.2156
11 Se 0.7500 0.4913 0.8941
12 Se 0.7500 0.9913 0.6059
13 Se 0.7500 0.6217 0.4368
14 Se 0.2500 0.0087 0.3941
15 Se 0.2500 0.8783 0.9368
16 Se 0.7500 0.3484 0.2844
17 Se 0.2500 0.6516 0.7156
18 Se 0.2500 0.1516 0.7844
19 Se 0.7500 0.1217 0.0632
20 Se 0.2500 0.5087 0.1059

=====

Entry from Alexandria: an optimized crystal structure of CsCdPdCl6 (PBE).

## Properties
Formation energy (no corrections)   -0.990 eV/atom
Size of the total moment   1.01 μB/f.u.

Cell lengths 6.6019, 6.8804, 7.7872 Å; angles 92.46, 91.26, 58.58 degrees
Each line ends with the local moment (μB).
Element x y z (fractional)
1 Cs 0.9878 0.0061 0.0000  0.00
2 Cd 0.6430 0.6785 0.5000  0.00
3 Pd 0.3328 0.3336 0.5000  0.51
4 Cl 0.0296 0.3502 0.3248  0.01
5 Cl 0.3684 0.0197 0.7029  0.15
6 Cl 0.6199 0.3558 0.6737  0.03
7 Cl 0.0294 0.6203 0.6751  0.01
8 Cl 0.3686 0.6118 0.2970  0.15
9 Cl 0.6201 0.0242 0.3264  0.03

=====

Entry from Alexandria: an optimized crystal structure of Pr3Pb5O12 (PBE).

## Properties
Formation energy (no corrections)   -1.723 eV/atom
Size of the total moment   0.00 μB/f.u.

Cell lengths 12.0948, 12.0948, 12.0948 Å; angles 109.47, 109.47, 109.47 degrees
Element x y z (fractional)
1 Pb 0.1250 0.3750 0.2500
2 Pb 0.0000 0.5000 0.0000
3 Pb 0.0000 0.0000 0.0000
4 Pb 0.3750 0.2500 0.1250
5 Pb 0.5000 0.0000 0.5000
6 Pb 0.5000 0.5000 0.0000
7 Pb 0.1250 0.7500 0.3750
8 Pb 0.7500 0.1250 0.8750
9 Pb 0.7500 0.6250 0.3750
10 Pb 0.3750 0.1250 0.7500
11 Pb 0.6250 0.8750 0.2500
12 Pb 0.5000 0.5000 0.5000
13 Pb 0.5000 0.0000 0.0000
14 Pb 0.0000 0.0000 0.5000
15 Pb 0.2500 0.3750 0.6250
16 Pb 0.2500 0.8750 0.1250
17 Pb 0.0000 0.5000 0.5000
18 Pb 0.8750 0.2500 0.6250
19 Pb 0.6250 0.7500 0.8750
20 Pb 0.8750 0.6250 0.7500
21 Pr 0.7500 0.3750 0.1250
22 Pr 0.8750 0.7500 0.1250
23 Pr 0.3750 0.7500 0.6250
24 Pr 0.2500 0.1250 0.3750
25 Pr 0.8750 0.1250 0.2500
26 Pr 0.3750 0.6250 0.2500
27 Pr 0.6250 0.3750 0.7500
28 Pr 0.1250 0.8750 0.7500
29 Pr 0.7500 0.8750 0.6250
30 Pr 0.6250 0.2500 0.3750
31 Pr 0.1250 0.2500 0.8750
32 Pr 0.2500 0.6250 0.8750
33 O 0.7157 0.1333 0.0487
34 O 0.3330 0.5487 0.4154
35 O 0.9513 0.3667 0.2843
36 O 0.5487 0.2157 0.1333
37 O 0.5824 0.7157 0.6670
38 O 0.9513 0.5846 0.1670
39 O 0.3330 0.7843 0.4176
40 O 0.0846 0.9176 0.1333
41 O 0.5846 0.9513 0.6670
42 O 0.7157 0.5824 0.1670
43 O 0.7843 0.4513 0.3667
44 O 0.8330 0.9154 0.0487
45 O 0.1333 0.7157 0.5487
46 O 0.3667 0.4154 0.0824
47 O 0.0824 0.9154 0.3667
48 O 0.4176 0.1333 0.5846
49 O 0.0824 0.1670 0.2157
50 O 0.4513 0.6670 0.0846
51 O 0.8330 0.9176 0.2843
52 O 0.1333 0.4176 0.0846
53 O 0.3667 0.9513 0.7843
54 O 0.5846 0.6333 0.4176
55 O 0.9154 0.8330 0.5487
56 O 0.7843 0.3330 0.9176
57 O 0.4154 0.3667 0.5824
58 O 0.0846 0.1670 0.4513
59 O 0.2157 0.6670 0.0824
60 O 0.1670 0.0824 0.7157
61 O 0.6333 0.0487 0.2157
62 O 0.8667 0.5824 0.9154
63 O 0.5487 0.3330 0.9154
64 O 0.5824 0.8667 0.4154
65 O 0.9176 0.8330 0.7843
66 O 0.9176 0.0846 0.6333
67 O 0.8667 0.2843 0.4513
68 O 0.1670 0.0846 0.9513
69 O 0.6333 0.5846 0.9176
70 O 0.4154 0.0487 0.3330
71 O 0.2843 0.4176 0.8330
72 O 0.2157 0.5487 0.6333
73 O 0.9154 0.0824 0.8667
74 O 0.6670 0.2157 0.5824
75 O 0.4513 0.7843 0.8667
76 O 0.0487 0.4154 0.8330
77 O 0.4176 0.2843 0.3330
78 O 0.0487 0.6333 0.7157
79 O 0.6670 0.4513 0.5846
80 O 0.2843 0.8667 0.9513

=====

Entry from Alexandria: an optimized crystal structure of CaZn5Ni2 (PBE).

## Properties
Size of the total moment   0.00 μB/f.u.
Energy   -2.69 eV per atom

Cell lengths 3.8525, 6.2787, 6.2787 Å; angles 71.04, 72.13, 72.13 degrees
Element x y z (fractional)
1 Ca 0.0000 0.0000 0.0000
2 Zn 0.0000 0.5000 0.5000
3 Zn 0.6582 0.5285 0.1551
4 Zn 0.3418 0.4715 0.8449
5 Zn 0.3418 0.8449 0.4715
6 Zn 0.6582 0.1551 0.5285
7 Ni 0.7482 0.7518 0.7518
8 Ni 0.2518 0.2482 0.2482

=====

Entry from Alexandria: an optimized crystal structure of PuGaTc (PBE).

## Properties
E above lowest polymorph   0.140 eV per atom
Size of the total moment   4.08 μB/f.u.

Cell lengths 3.2129, 3.2129, 5.8770 Å; angles 105.86, 105.86, 90.00 degrees
Each line ends with the local moment (μB).
Element x y z (fractional)
1 Tc 0.2691 0.2691 0.5381  -0.87
2 Ga 0.6449 0.6449 0.2899  -0.04
3 Pu 0.9360 0.9360 0.8720  4.89